{
  "formula": "Sr2ZrInS5",
  "functional": "PBE",
  "state": "optimized geometry",
  "total_magnetization_mub_per_atom": 0.07,
  "e_form_raw_ev_per_atom": -1.49,
  "spacegroup": "Cmc2_1 (36)",
  "lattice_angstrom": [[1.978, -8.564, 0.000], [1.978, 8.564, 0.000], [0.000, 0.000, 12.744]],
  "species": ["Sr", "Sr", "Sr", "Sr", "Zr", "Zr", "In", "In", "S", "S", "S", "S", "S", "S", "S", "S", "S", "S"],
  "fractional_positions": [[0.111, 0.889, 0.500], [0.142, 0.858, 0.124], [0.858, 0.142, 0.624], [0.889, 0.111, 0.000], [0.217, 0.783, 0.839], [0.783, 0.217, 0.339], [0.462, 0.538, 0.264], [0.538, 0.462, 0.764], [0.058, 0.942, 0.879], [0.283, 0.717, 0.476], [0.311, 0.689, 0.199], [0.364, 0.636, 0.819], [0.492, 0.508, 0.585], [0.508, 0.492, 0.085], [0.636, 0.364, 0.319], [0.689, 0.311, 0.699], [0.717, 0.283, 0.976], [0.942, 0.058, 0.379]]
}